This record from Alexandria describes a relaxed structure of TaTlPb. The functional is PBE.

Values from the calculation:
- total energy (eV per atom) = -4.6377
- relative energy among the computed polymorphs (meV/atom) = 794
- DOS at the Fermi energy (states/eV/cell) = 2.51
- formation energy from the elements (eV/atom) = 1.338

a b c (Å): 4.980 4.980 4.980
angles (deg): 60.00 60.00 60.00
Each line ends with the local moment (μB).
Element x y z (fractional)
Pb 0.250 0.250 0.250  0.01
Ta 0.000 0.000 0.000  1.34
Tl 0.500 0.500 0.500  0.01

This record from Alexandria describes a relaxed structure of SmGa2Ag6. The functional is PBE.

Values from the calculation:
- total energy (eV per atom) = -3.2913
- relative energy among the computed polymorphs (meV/atom) = 0
- DOS at the Fermi energy (states/eV/cell) = 3.87
- formation energy from the elements (eV/atom) = -0.193

a b c (Å): 4.262 4.262 9.582
angles (deg): 90.00 90.00 90.00
Element x y z (fractional)
Sm 0.000 0.000 0.000
Ga 0.500 0.500 0.127
Ga 0.500 0.500 0.873
Ag 0.000 0.500 0.289
Ag 0.500 0.000 0.289
Ag 0.000 0.500 0.711
Ag 0.500 0.000 0.711
Ag 0.500 0.500 0.500
Ag 0.000 0.000 0.500

This record from Alexandria describes a relaxed structure of PaTiGaRe. The functional is PBE.

Values from the calculation:
- total energy (eV per atom) = -8.3723
- DOS at the Fermi energy (states/eV/cell) = 4.86
- formation energy from the elements (eV/atom) = -0.156

a b c (Å): 4.640 4.640 4.640
angles (deg): 60.00 60.00 60.00
Element x y z (fractional)
Re 0.250 0.250 0.250
Pa 0.000 0.000 0.000
Ga 0.500 0.500 0.500
Ti 0.750 0.750 0.750

This record from Alexandria describes a relaxed structure of AgMo2W. The functional is PBE.

Values from the calculation:
- total energy (eV per atom) = -8.7358
- relative energy among the computed polymorphs (meV/atom) = 385
- DOS at the Fermi energy (states/eV/cell) = 4.20
- formation energy from the elements (eV/atom) = 0.631

a b c (Å): 4.523 4.523 4.523
angles (deg): 60.00 60.00 60.00
Element x y z (fractional)
Ag 0.500 0.500 0.500
Mo 0.000 0.000 0.000
Mo 0.250 0.250 0.250
W 0.750 0.750 0.750

This record from Alexandria describes a relaxed structure of KBaCuF6. The functional is PBE.

Values from the calculation:
- total energy (eV per atom) = -4.5698
- formation energy without anion corrections (kJ/mol of formula units) = -2198

a b c (Å): 5.283 5.994 5.994
angles (deg): 120.00 90.00 90.00
Each line ends with the local moment (μB).
Element x y z (fractional)
K 0.500 0.667 0.333  0.00
Ba 0.000 0.333 0.667  0.02
Cu 0.500 0.000 0.000  1.08
F 0.713 0.727 0.744  0.14
F 0.713 0.256 0.984  0.14
F 0.713 0.016 0.273  0.14
F 0.287 0.256 0.273  0.14
F 0.287 0.727 0.984  0.14
F 0.287 0.016 0.744  0.14

This record from Alexandria describes a relaxed structure of Tb2Ho6Tm. The functional is PBE.

Values from the calculation:
- total energy (eV per atom) = -4.5596
- relative energy among the computed polymorphs (meV/atom) = 0
- DOS at the Fermi energy (states/eV/cell) = 11.11
- formation energy from the elements (eV/atom) = 0.018

a b c (Å): 3.521 7.866 14.485
angles (deg): 130.59 96.85 102.94
Element x y z (fractional)
Tb 0.445 0.779 0.111
Tb 0.555 0.221 0.889
Ho 0.888 0.555 0.222
Ho 0.112 0.445 0.778
Ho 0.667 0.666 0.667
Ho 0.778 0.112 0.445
Ho 0.222 0.888 0.555
Ho 0.333 0.334 0.333
Tm 0.000 0.000 0.000

This record from Alexandria describes a relaxed structure of LiAcZnPd. The functional is PBE.

Values from the calculation:
- total energy (eV per atom) = -3.5804
- relative energy among the computed polymorphs (meV/atom) = 0
- DOS at the Fermi energy (states/eV/cell) = 2.18
- formation energy from the elements (eV/atom) = -0.458

a b c (Å): 4.499 4.510 5.794
angles (deg): 113.08 90.00 119.92
Element x y z (fractional)
Li 0.817 0.634 0.093
Ac 0.622 0.245 0.507
Zn 0.109 0.218 0.969
Pd 0.418 0.837 0.898

This record from Alexandria describes a relaxed structure of NaTb2Cd. The functional is PBE.

Values from the calculation:
- total energy (eV per atom) = -2.7681
- relative energy among the computed polymorphs (meV/atom) = 79
- DOS at the Fermi energy (states/eV/cell) = 4.19
- formation energy from the elements (eV/atom) = 0.106

a b c (Å): 3.473 3.473 12.330
angles (deg): 81.90 81.90 60.00
Element x y z (fractional)
Na 0.000 0.000 0.000
Tb 0.097 0.097 0.709
Tb 0.903 0.903 0.291
Cd 0.500 0.500 0.500

This record from Alexandria describes a relaxed structure of Cs2Ge2P. The functional is PBE.

Values from the calculation:
- total energy (eV per atom) = -3.3257
- DOS at the Fermi energy (states/eV/cell) = 1.99
- formation energy from the elements (eV/atom) = -0.055

a b c (Å): 7.993 7.519 8.651
angles (deg): 77.50 65.96 57.89
Element x y z (fractional)
Cs 0.551 0.318 0.732
Cs 0.449 0.682 0.268
Cs 0.869 0.682 0.732
Cs 0.131 0.318 0.268
Ge 0.873 0.000 0.292
Ge 0.742 0.000 0.077
Ge 0.258 0.000 0.923
Ge 0.127 0.000 0.708
P 0.123 0.754 0.000
P 0.877 0.246 0.000

This record from Alexandria describes a relaxed structure of Hf2NbV. The functional is PBE.

Values from the calculation:
- total energy (eV per atom) = -9.6436
- relative energy among the computed polymorphs (meV/atom) = 0
- DOS at the Fermi energy (states/eV/cell) = 6.29
- formation energy from the elements (eV/atom) = 0.130

a b c (Å): 4.784 4.784 4.784
angles (deg): 60.00 60.00 60.00
Each line ends with the local moment (μB).
Element x y z (fractional)
Nb 0.000 0.000 0.000  -0.49
Hf 0.250 0.250 0.250  0.11
Hf 0.750 0.750 0.750  0.11
V 0.500 0.500 0.500  1.89

This record from Alexandria describes a relaxed structure of Sm2Er8Tm. The functional is PBE.

Values from the calculation:
- total energy (eV per atom) = -4.4198
- relative energy among the computed polymorphs (meV/atom) = 140
- DOS at the Fermi energy (states/eV/cell) = 14.89
- formation energy from the elements (eV/atom) = 0.163

a b c (Å): 5.830 8.971 9.146
angles (deg): 60.63 74.42 56.80
Element x y z (fractional)
Sm 0.000 0.307 0.386
Sm 0.000 0.693 0.614
Er 0.825 0.098 0.233
Er 0.825 0.330 0.767
Er 0.296 0.429 0.000
Er 0.500 0.793 0.414
Er 0.500 0.207 0.586
Er 0.704 0.571 0.000
Er 0.175 0.670 0.233
Er 0.175 0.902 0.767
Tm 0.500 0.000 0.000

This record from Alexandria describes a relaxed structure of La16Pm7Y6. The functional is PBE.

Values from the calculation:
- total energy (eV per atom) = -5.0127
- DOS at the Fermi energy (states/eV/cell) = 41.26
- formation energy from the elements (eV/atom) = 0.190

a b c (Å): 11.526 11.526 11.526
angles (deg): 60.00 60.00 60.00
Element x y z (fractional)
La 0.875 0.875 0.374
La 0.875 0.875 0.875
La 0.875 0.374 0.875
La 0.374 0.875 0.875
La 0.125 0.125 0.125
La 0.125 0.125 0.626
La 0.125 0.626 0.125
La 0.626 0.125 0.125
La 0.652 0.652 0.044
La 0.652 0.652 0.652
La 0.652 0.044 0.652
La 0.044 0.652 0.652
La 0.348 0.348 0.348
La 0.348 0.348 0.956
La 0.348 0.956 0.348
La 0.956 0.348 0.348
Pm 0.000 0.000 0.000
Pm 0.500 0.000 0.500
Pm 0.000 0.500 0.000
Pm 0.000 0.500 0.500
Pm 0.500 0.000 0.000
Pm 0.000 0.000 0.500
Pm 0.500 0.500 0.000
Y 0.266 0.734 0.266
Y 0.734 0.266 0.734
Y 0.734 0.266 0.266
Y 0.266 0.734 0.734
Y 0.734 0.734 0.266
Y 0.266 0.266 0.734

This record from Alexandria describes a relaxed structure of CsSrSc3. The functional is PBE.

Values from the calculation:
- total energy (eV per atom) = -3.2054
- relative energy among the computed polymorphs (meV/atom) = 0
- DOS at the Fermi energy (states/eV/cell) = 1.76
- formation energy from the elements (eV/atom) = 1.101

a b c (Å): 5.527 5.527 5.527
angles (deg): 90.00 90.00 90.00
Element x y z (fractional)
Cs 0.000 0.000 0.000
Sr 0.500 0.500 0.500
Sc 0.000 0.500 0.000
Sc 0.000 0.000 0.500
Sc 0.500 0.000 0.000

This record from Alexandria describes a relaxed structure of Ca2Os3O10. The functional is PBE.

Values from the calculation:
- total energy (eV per atom) = -7.3203
- formation energy without anion corrections (kJ/mol of formula units) = -2174
- DOS at the Fermi energy (states/eV/cell) = 13.89

a b c (Å): 5.666 7.497 9.627
angles (deg): 112.01 107.11 90.00
Each line ends with the local moment (μB).
Element x y z (fractional)
Ca 0.700 0.323 0.399  0.01
Ca 0.300 0.677 0.601  0.01
Ca 0.600 0.712 0.200  0.00
Ca 0.400 0.288 0.800  0.00
Os 0.917 0.520 0.834  0.73
Os 0.083 0.480 0.166  0.73
Os 0.816 0.970 0.633  -0.12
Os 0.184 0.030 0.367  -0.12
Os 0.721 0.000 0.000  0.00
Os 0.279 0.000 0.000  0.00
O 0.623 0.968 0.774  0.01
O 0.151 0.968 0.774  0.01
O 0.377 0.032 0.226  0.01
O 0.849 0.032 0.226  0.01
O 0.604 0.526 0.711  0.11
O 0.107 0.526 0.711  0.11
O 0.396 0.474 0.289  0.11
O 0.893 0.474 0.289  0.11
O 0.976 0.815 0.951  0.01
O 0.024 0.185 0.049  0.01
O 0.871 0.249 0.741  0.03
O 0.129 0.751 0.259  0.03
O 0.768 0.706 0.536  -0.05
O 0.232 0.294 0.464  -0.05
O 0.479 0.783 0.958  0.00
O 0.521 0.217 0.042  0.00
O 0.778 0.500 0.000  0.03
O 0.222 0.500 0.000  0.03
O 0.500 0.000 0.500  0.01
O 0.000 0.000 0.500  0.01

This record from Alexandria describes a relaxed structure of CeGdCuAu. The functional is PBE.

Values from the calculation:
- total energy (eV per atom) = -7.2432
- DOS at the Fermi energy (states/eV/cell) = 8.22
- formation energy from the elements (eV/atom) = -0.396

a b c (Å): 5.105 5.105 5.105
angles (deg): 60.00 60.00 60.00
Each line ends with the local moment (μB).
Element x y z (fractional)
Gd 0.000 0.000 0.000  7.06
Au 0.750 0.750 0.750  0.00
Cu 0.250 0.250 0.250  0.00
Ce 0.500 0.500 0.500  0.69

This record from Alexandria describes a relaxed structure of TcTe2N. The functional is PBE.

Values from the calculation:
- total energy (eV per atom) = -4.8951
- relative energy among the computed polymorphs (meV/atom) = 569
- formation energy without anion corrections (kJ/mol of formula units) = 520
- DOS at the Fermi energy (states/eV/cell) = 3.70

a b c (Å): 8.605 8.605 8.605
angles (deg): 21.57 21.57 21.57
Element x y z (fractional)
Te 0.899 0.899 0.899
Te 0.101 0.101 0.101
Tc 0.000 0.000 0.000
N 0.500 0.500 0.500

This record from Alexandria describes a relaxed structure of Sm2YAg4. The functional is PBE.

Values from the calculation:
- total energy (eV per atom) = -4.0149
- DOS at the Fermi energy (states/eV/cell) = 5.80
- formation energy from the elements (eV/atom) = -0.114

a b c (Å): 5.360 5.360 7.456
angles (deg): 111.07 111.07 90.00
Element x y z (fractional)
Sm 0.721 0.721 0.443
Sm 0.279 0.279 0.557
Y 0.000 0.000 0.000
Ag 0.383 0.883 0.766
Ag 0.883 0.383 0.766
Ag 0.617 0.117 0.234
Ag 0.117 0.617 0.234

This record from Alexandria describes a relaxed structure of InTe. The functional is PBE.

Values from the calculation:
- total energy (eV per atom) = -2.9974
- formation energy without anion corrections (kJ/mol of formula units) = -11
- DOS at the Fermi energy (states/eV/cell) = 15.38

a b c (Å): 8.616 8.616 8.616
angles (deg): 90.00 90.00 90.00
Element x y z (fractional)
In 0.250 0.000 0.500
In 0.750 0.000 0.500
In 0.000 0.500 0.250
In 0.000 0.500 0.750
In 0.500 0.250 0.000
In 0.500 0.750 0.000
Te 0.250 0.500 0.000
Te 0.750 0.500 0.000
Te 0.500 0.000 0.250
Te 0.500 0.000 0.750
Te 0.000 0.250 0.500
Te 0.000 0.750 0.500